1 | BiBSe2 | PBE | relaxed

Cell and atoms, written as CIF:
```
data_BiBSe2
_chemical_formula_sum 'Bi4 B4 Se8'
_space_group_name_H-M_alt 'C 1 m 1'
_space_group_IT_number 8
_space_group_name_Hall 'C -2y'
_cell_length_a 8.618
_cell_length_b 7.264
_cell_length_c 8.097
_cell_angle_alpha 90.00
_cell_angle_beta 116.56
_cell_angle_gamma 90.00
loop_
_atom_site_label
_atom_site_type_symbol
_atom_site_fract_x
_atom_site_fract_y
_atom_site_fract_z
Bi1 Bi 0.000 0.000 0.000
Bi2 Bi 0.063 0.500 0.456
B1 B 0.177 0.500 0.908
B2 B 0.229 0.500 0.126
Se1 Se 0.174 0.269 0.769
Se2 Se 0.230 0.272 0.272
```

2 | BiBSe2 | PBE | relaxed

Cell and atoms, written as CIF:
```
data_BiBSe2
_chemical_formula_sum 'Bi2 B2 Se4'
_space_group_name_H-M_alt 'P -1'
_space_group_IT_number 2
_space_group_name_Hall '-P 1'
_cell_length_a 4.896
_cell_length_b 6.191
_cell_length_c 8.182
_cell_angle_alpha 69.36
_cell_angle_beta 76.72
_cell_angle_gamma 80.33
loop_
_atom_site_label
_atom_site_type_symbol
_atom_site_fract_x
_atom_site_fract_y
_atom_site_fract_z
Bi1 Bi 0.231 0.289 0.004
B1 B 0.438 0.925 0.608
Se1 Se 0.110 0.065 0.735
Se2 Se 0.366 0.387 0.289
```

What should be chosen as the most stable of them? Choose 1.

1 | BiBSe2 | PBE | relaxed

Cell and atoms, written as CIF:
```
data_BiBSe2
_chemical_formula_sum 'Bi4 B4 Se8'
_space_group_name_H-M_alt 'C 1 m 1'
_space_group_IT_number 8
_space_group_name_Hall 'C -2y'
_cell_length_a 13.699
_cell_length_b 7.843
_cell_length_c 4.559
_cell_angle_alpha 90.00
_cell_angle_beta 103.81
_cell_angle_gamma 90.00
loop_
_atom_site_label
_atom_site_type_symbol
_atom_site_fract_x
_atom_site_fract_y
_atom_site_fract_z
Bi1 Bi 0.000 0.000 0.000
Bi2 Bi 0.249 0.500 0.792
B1 B 0.154 0.107 0.501
Se1 Se 0.048 0.248 0.621
Se2 Se 0.268 0.233 0.412
```

2 | BiBSe2 | PBE | relaxed

Cell and atoms, written as CIF:
```
data_BiBSe2
_chemical_formula_sum 'Bi4 B4 Se8'
_space_group_name_H-M_alt 'C 1 m 1'
_space_group_IT_number 8
_space_group_name_Hall 'C -2y'
_cell_length_a 7.781
_cell_length_b 7.368
_cell_length_c 7.562
_cell_angle_alpha 90.00
_cell_angle_beta 92.81
_cell_angle_gamma 90.00
loop_
_atom_site_label
_atom_site_type_symbol
_atom_site_fract_x
_atom_site_fract_y
_atom_site_fract_z
Bi1 Bi 0.000 0.000 0.000
Bi2 Bi 0.111 0.500 0.459
B1 B 0.325 0.000 0.070
B2 B 0.401 0.000 0.867
Se1 Se 0.378 0.219 0.237
Se2 Se 0.448 0.218 0.725
```

What should be chosen as the most stable of them? Choose 1.

1 | BiBSe2 | PBE | relaxed

Cell and atoms, written as CIF:
```
data_BiBSe2
_chemical_formula_sum 'Bi3 B3 Se6'
_space_group_name_H-M_alt 'R -3 m'
_space_group_IT_number 166
_space_group_name_Hall '-R 3 2"'
_cell_length_a 3.4151
_cell_length_b 3.4151
_cell_length_c 25.2849
_cell_angle_alpha 90.00
_cell_angle_beta 90.00
_cell_angle_gamma 120.00
loop_
_atom_site_label
_atom_site_type_symbol
_atom_site_fract_x
_atom_site_fract_y
_atom_site_fract_z
Bi1 Bi 0.0000 0.0000 0.0000
B1 B 0.0000 0.0000 0.5000
Se1 Se 0.0000 0.0000 0.1175
```

2 | BiBSe2 | PBE | relaxed

Cell and atoms, written as CIF:
```
data_BiBSe2
_chemical_formula_sum 'Bi4 B4 Se8'
_space_group_name_H-M_alt 'I -4 2 d'
_space_group_IT_number 122
_space_group_name_Hall 'I -4 2bw'
_cell_length_a 6.313
_cell_length_b 6.313
_cell_length_c 9.212
_cell_angle_alpha 90.00
_cell_angle_beta 90.00
_cell_angle_gamma 90.00
loop_
_atom_site_label
_atom_site_type_symbol
_atom_site_fract_x
_atom_site_fract_y
_atom_site_fract_z
Bi1 Bi 0.000 0.000 0.000
B1 B 0.000 0.000 0.500
Se1 Se 0.137 0.250 0.625
```

What should be chosen as the most stable of them? Choose 2.

1 | BiBSe2 | PBE | relaxed

Cell and atoms, written as CIF:
```
data_BiBSe2
_chemical_formula_sum 'Bi2 B2 Se4'
_space_group_name_H-M_alt 'P -1'
_space_group_IT_number 2
_space_group_name_Hall '-P 1'
_cell_length_a 5.832
_cell_length_b 5.913
_cell_length_c 6.557
_cell_angle_alpha 106.21
_cell_angle_beta 98.00
_cell_angle_gamma 95.56
loop_
_atom_site_label
_atom_site_type_symbol
_atom_site_fract_x
_atom_site_fract_y
_atom_site_fract_z
Bi1 Bi 0.213 0.308 0.048
B1 B 0.393 0.894 0.001
Se1 Se 0.222 0.924 0.256
Se2 Se 0.285 0.594 0.749
```

2 | BiBSe2 | PBE | relaxed

Cell and atoms, written as CIF:
```
data_BiBSe2
_chemical_formula_sum 'Bi4 B4 Se8'
_space_group_name_H-M_alt 'C 1 m 1'
_space_group_IT_number 8
_space_group_name_Hall 'C -2y'
_cell_length_a 8.882
_cell_length_b 8.004
_cell_length_c 7.063
_cell_angle_alpha 90.00
_cell_angle_beta 116.68
_cell_angle_gamma 90.00
loop_
_atom_site_label
_atom_site_type_symbol
_atom_site_fract_x
_atom_site_fract_y
_atom_site_fract_z
Bi1 Bi 0.000 0.000 0.000
Bi2 Bi 0.070 0.500 0.441
B1 B 0.344 0.398 0.416
Se1 Se 0.332 0.264 0.168
Se2 Se 0.353 0.265 0.663
```

3 | BiBSe2 | PBE | relaxed

Cell and atoms, written as CIF:
```
data_BiBSe2
_chemical_formula_sum 'Bi3 B3 Se6'
_space_group_name_H-M_alt 'R -3 m'
_space_group_IT_number 166
_space_group_name_Hall '-R 3 2"'
_cell_length_a 5.1970
_cell_length_b 5.1970
_cell_length_c 17.5313
_cell_angle_alpha 90.00
_cell_angle_beta 90.00
_cell_angle_gamma 120.00
loop_
_atom_site_label
_atom_site_type_symbol
_atom_site_fract_x
_atom_site_fract_y
_atom_site_fract_z
Bi1 Bi 0.0000 0.0000 0.0000
B1 B 0.0000 0.0000 0.5000
Se1 Se 0.0000 0.0000 0.3955
```

4 | BiBSe2 | PBE | relaxed

Cell and atoms, written as CIF:
```
data_BiBSe2
_chemical_formula_sum 'Bi4 B4 Se8'
_space_group_name_H-M_alt 'F m -3 m'
_space_group_IT_number 225
_space_group_name_Hall '-F 4 2 3'
_cell_length_a 7.028
_cell_length_b 7.028
_cell_length_c 7.028
_cell_angle_alpha 90.00
_cell_angle_beta 90.00
_cell_angle_gamma 90.00
loop_
_atom_site_label
_atom_site_type_symbol
_atom_site_fract_x
_atom_site_fract_y
_atom_site_fract_z
Bi1 Bi 0.000 0.000 0.000
B1 B 0.000 0.000 0.500
Se1 Se 0.250 0.250 0.250
```

What should be chosen as the most stable of them? Choose 2.

1 | BiBSe2 | PBE | relaxed

Cell and atoms, written as CIF:
```
data_BiBSe2
_chemical_formula_sum 'Bi4 B4 Se8'
_space_group_name_H-M_alt 'C 1 m 1'
_space_group_IT_number 8
_space_group_name_Hall 'C -2y'
_cell_length_a 8.946
_cell_length_b 8.148
_cell_length_c 7.966
_cell_angle_alpha 90.00
_cell_angle_beta 121.01
_cell_angle_gamma 90.00
loop_
_atom_site_label
_atom_site_type_symbol
_atom_site_fract_x
_atom_site_fract_y
_atom_site_fract_z
Bi1 Bi 0.000 0.000 0.000
Bi2 Bi 0.156 0.500 0.583
B1 B 0.193 0.396 0.165
Se1 Se 0.151 0.271 0.932
Se2 Se 0.227 0.264 0.386
```

2 | BiBSe2 | PBE | relaxed

Cell and atoms, written as CIF:
```
data_BiBSe2
_chemical_formula_sum 'Bi2 B2 Se4'
_space_group_name_H-M_alt 'P -1'
_space_group_IT_number 2
_space_group_name_Hall '-P 1'
_cell_length_a 6.343
_cell_length_b 6.667
_cell_length_c 7.634
_cell_angle_alpha 112.19
_cell_angle_beta 109.35
_cell_angle_gamma 94.17
loop_
_atom_site_label
_atom_site_type_symbol
_atom_site_fract_x
_atom_site_fract_y
_atom_site_fract_z
Bi1 Bi 0.054 0.109 0.368
B1 B 0.480 0.121 0.074
Se1 Se 0.220 0.250 0.987
Se2 Se 0.309 0.697 0.640
```

3 | BiBSe2 | PBE | relaxed

Cell and atoms, written as CIF:
```
data_BiBSe2
_chemical_formula_sum 'Bi2 B2 Se4'
_space_group_name_H-M_alt 'P 1'
_space_group_IT_number 1
_space_group_name_Hall 'P 1'
_cell_length_a 6.288
_cell_length_b 6.713
_cell_length_c 7.274
_cell_angle_alpha 71.61
_cell_angle_beta 68.19
_cell_angle_gamma 72.91
loop_
_atom_site_label
_atom_site_type_symbol
_atom_site_fract_x
_atom_site_fract_y
_atom_site_fract_z
Bi1 Bi 0.000 0.000 0.000
Bi2 Bi 0.185 0.219 0.526
B1 B 0.207 0.395 0.952
B2 B 0.385 0.152 0.962
Se1 Se 0.017 0.520 0.767
Se2 Se 0.214 0.570 0.121
Se3 Se 0.521 0.982 0.189
Se4 Se 0.523 0.033 0.716
```

What should be chosen as the most stable of them? Choose 2.

1 | Si2BiB | PBE | relaxed

Cell and atoms, written as CIF:
```
data_Si2BiB
_chemical_formula_sum 'Si8 Bi4 B4'
_space_group_name_H-M_alt 'I -4 2 d'
_space_group_IT_number 122
_space_group_name_Hall 'I -4 2bw'
_cell_length_a 5.483
_cell_length_b 5.483
_cell_length_c 10.522
_cell_angle_alpha 90.00
_cell_angle_beta 90.00
_cell_angle_gamma 90.00
loop_
_atom_site_label
_atom_site_type_symbol
_atom_site_fract_x
_atom_site_fract_y
_atom_site_fract_z
Si1 Si 0.145 0.250 0.125
Bi1 Bi 0.000 0.000 0.500
B1 B 0.000 0.000 0.000
```

2 | Si2BiB | PBE | relaxed

Cell and atoms, written as CIF:
```
data_Si2BiB
_chemical_formula_sum 'Si8 Bi4 B4'
_space_group_name_H-M_alt 'F m -3 m'
_space_group_IT_number 225
_space_group_name_Hall '-F 4 2 3'
_cell_length_a 6.680
_cell_length_b 6.680
_cell_length_c 6.680
_cell_angle_alpha 90.00
_cell_angle_beta 90.00
_cell_angle_gamma 90.00
loop_
_atom_site_label
_atom_site_type_symbol
_atom_site_fract_x
_atom_site_fract_y
_atom_site_fract_z
Si1 Si 0.250 0.250 0.250
Bi1 Bi 0.000 0.000 0.000
B1 B 0.000 0.000 0.500
```

What should be chosen as the most stable of them? Choose 1.

1 | SiBi2B | PBE | relaxed

Cell and atoms, written as CIF:
```
data_SiBi2B
_chemical_formula_sum 'Si4 Bi8 B4'
_space_group_name_H-M_alt 'I -4 2 d'
_space_group_IT_number 122
_space_group_name_Hall 'I -4 2bw'
_cell_length_a 6.217
_cell_length_b 6.217
_cell_length_c 11.178
_cell_angle_alpha 90.00
_cell_angle_beta 90.00
_cell_angle_gamma 90.00
loop_
_atom_site_label
_atom_site_type_symbol
_atom_site_fract_x
_atom_site_fract_y
_atom_site_fract_z
Si1 Si 0.000 0.000 0.000
Bi1 Bi 0.200 0.250 0.625
B1 B 0.000 0.000 0.500
```

2 | SiBi2B | PBE | relaxed

Cell and atoms, written as CIF:
```
data_SiBi2B
_chemical_formula_sum 'Si4 Bi8 B4'
_space_group_name_H-M_alt 'F m -3 m'
_space_group_IT_number 225
_space_group_name_Hall '-F 4 2 3'
_cell_length_a 7.030
_cell_length_b 7.030
_cell_length_c 7.030
_cell_angle_alpha 90.00
_cell_angle_beta 90.00
_cell_angle_gamma 90.00
loop_
_atom_site_label
_atom_site_type_symbol
_atom_site_fract_x
_atom_site_fract_y
_atom_site_fract_z
Si1 Si 0.000 0.000 0.000
Bi1 Bi 0.250 0.250 0.250
B1 B 0.000 0.000 0.500
```

What should be chosen as the most stable of them? Choose 1.

1 | SnBi2B | PBE | relaxed

Cell and atoms, written as CIF:
```
data_SnBi2B
_chemical_formula_sum 'Sn4 Bi8 B4'
_space_group_name_H-M_alt 'I -4 2 d'
_space_group_IT_number 122
_space_group_name_Hall 'I -4 2bw'
_cell_length_a 6.585
_cell_length_b 6.585
_cell_length_c 11.107
_cell_angle_alpha 90.00
_cell_angle_beta 90.00
_cell_angle_gamma 90.00
loop_
_atom_site_label
_atom_site_type_symbol
_atom_site_fract_x
_atom_site_fract_y
_atom_site_fract_z
Sn1 Sn 0.000 0.000 0.000
Bi1 Bi 0.171 0.250 0.625
B1 B 0.000 0.000 0.500
```

2 | SnBi2B | PBE | relaxed

Cell and atoms, written as CIF:
```
data_SnBi2B
_chemical_formula_sum 'Sn4 Bi8 B4'
_space_group_name_H-M_alt 'F m -3 m'
_space_group_IT_number 225
_space_group_name_Hall '-F 4 2 3'
_cell_length_a 7.386
_cell_length_b 7.386
_cell_length_c 7.386
_cell_angle_alpha 90.00
_cell_angle_beta 90.00
_cell_angle_gamma 90.00
loop_
_atom_site_label
_atom_site_type_symbol
_atom_site_fract_x
_atom_site_fract_y
_atom_site_fract_z
Sn1 Sn 0.000 0.000 0.000
Bi1 Bi 0.250 0.250 0.250
B1 B 0.000 0.000 0.500
```

What should be chosen as the most stable of them? Choose 1.